# 1
First-principles (GGA-PBE) data for crystalline YHo2ScS4 at its relaxed geometry, as listed in the Alexandria database.

```
YHo2ScS4
1.0
-1.3811 3.5636 -0.1103
-4.9055 -1.7715 4.1880
5.2418 2.1413 3.5443
Y Ho Sc S
1 2 1 4
direct
0.5000 0.5000 0.0000
0.5000 0.0000 0.5000
0.0000 0.5000 0.5000
0.0000 0.0000 0.0000
0.5000 0.2400 0.2420
0.5000 0.7600 0.7580
0.0000 0.2435 0.7526
0.0000 0.7565 0.2474
```

* space-group type: No. 10
* total moment: 0.000 μB/atom
* ΔE_f (raw): -15.51 eV/f.u.

---

# 2
First-principles (GGA-PBE) data for crystalline NpHAu at its relaxed geometry, as listed in the Alexandria database.

```
NpHAu
1.0
-0.8671 -1.9905 -2.7202
1.9314 -6.0865 6.0648
-1.3973 -7.0032 5.5701
Np H Au
2 2 2
direct
0.3683 0.7366 0.3411
0.6317 0.2634 0.6589
0.0905 0.1810 0.0048
0.9095 0.8190 0.9952
0.9010 0.8021 0.8128
0.0990 0.1979 0.1872
```

* space-group type: No. 12
* E: -39.52 eV per cell
* total moment: 0.000 μB/atom

---

# 3
First-principles (GGA-PBE) data for crystalline Be2SbAs at its relaxed geometry, as listed in the Alexandria database.

```
Be2SbAs
1.0
-1.7835 2.0614 1.9066
1.0814 -2.4624 1.9576
6.2110 3.9508 1.5384
Sb As Be
1 1 2
direct
0.0000 0.0000 0.3866
0.5000 0.5000 0.8887
0.0000 0.0000 0.0403
0.5000 0.5000 0.1843
```

* space-group type: No. 35
* total moment: 0.000 μB/atom
* ΔE_f (raw): 0.89 eV/f.u.

---

# 4
First-principles (GGA-PBE) data for crystalline Tb2Be4ZnPt3 at its relaxed geometry, as listed in the Alexandria database.

```
Tb2Be4ZnPt3
1.0
3.9834 0.0000 0.0000
0.0000 3.9834 0.0000
0.0000 0.0000 9.7293
Tb Be Zn Pt
2 4 1 3
direct
0.5000 0.0000 0.2470
0.0000 0.5000 0.7530
0.5000 0.5000 0.0000
0.0000 0.0000 0.0000
0.5000 0.0000 0.6328
0.0000 0.5000 0.3672
0.5000 0.5000 0.5000
0.0000 0.0000 0.5000
0.5000 0.0000 0.8753
0.0000 0.5000 0.1247
```

* space-group type: No. 115
* formation energy: -7.25 eV per formula unit
* total moment: 0.000 μB/atom

---

# 5
First-principles (GGA-PBE) data for crystalline KPb2Au at its relaxed geometry, as listed in the Alexandria database.

```
KPb2Au
1.0
3.7957 0.0001 0.0000
-0.0395 3.7955 0.0000
0.0000 0.0000 8.6321
Au K Pb
1 1 2
direct
0.0000 0.0000 0.4572
0.5000 0.5000 0.7159
0.0000 0.0000 0.0392
0.5000 0.5000 0.2877
```

* space-group type: No. 35
* formation energy: -0.32 eV per formula unit
* total moment: 0.000 μB/atom

---

# 6
First-principles (GGA-PBE) data for crystalline InCu2Bi at its relaxed geometry, as listed in the Alexandria database.

```
InCu2Bi
1.0
-1.0097 1.8565 4.3485
-3.8791 -1.5362 2.4429
0.5574 -2.7017 3.9706
Bi Cu In
1 2 1
direct
0.5000 0.5000 0.5000
0.2500 0.2500 0.2500
0.7500 0.7500 0.7500
0.0000 0.0000 0.0000
```

* space-group type: No. 225
* formation energy: 1.05 eV per formula unit
* total moment: 0.000 μB/atom

---

# 7
First-principles (GGA-PBE) data for crystalline CaHf2AgF at its relaxed geometry, as listed in the Alexandria database.

```
CaHf2AgF
1.0
5.6231 0.0000 0.0000
0.0000 3.9765 0.0000
0.0000 0.0000 5.6231
Ca Hf Ag F
1 2 1 1
direct
0.0000 0.0000 0.0000
0.0000 0.0000 0.5000
0.5000 0.0000 0.0000
0.5000 0.5000 0.5000
0.0000 0.5000 0.0000
```

* space-group type: No. 123
* total moment: 0.218 μB/atom
* ΔE_f (raw): 3.09 eV/f.u.

---

# 8
First-principles (GGA-PBE) data for crystalline SmScAgBi at its relaxed geometry, as listed in the Alexandria database.

```
SmScAgBi
1.0
-0.8890 -4.5384 -2.4487
2.7905 -1.2765 -4.2388
3.5367 -3.8483 0.2570
Sc Ag Bi Sm
1 1 1 1
direct
0.7500 0.7500 0.7500
0.0000 0.0000 0.0000
0.5000 0.5000 0.5000
0.2500 0.2500 0.2500
```

* space-group type: No. 216
* formation energy: -1.51 eV per formula unit
* total moment: 0.172 μB/atom